(1)
# Hg2GeSe2 PBE-GGA relaxed
data_Hg2GeSe2
_symmetry_space_group_name_H-M 'P 1'
_symmetry_Int_Tables_number 1
_cell_length_a 7.963
_cell_length_b 7.963
_cell_length_c 4.150
_cell_angle_alpha 90.00
_cell_angle_beta 90.00
_cell_angle_gamma 90.00
loop_
_symmetry_equiv_pos_as_xyz
'x,y,z'
loop_
_atom_site_label
_atom_site_type_symbol
_atom_site_fract_x
_atom_site_fract_y
_atom_site_fract_z
Ge1 Ge 0.000 0.000 0.000
Ge2 Ge 0.500 0.500 0.000
Hg1 Hg 0.121 0.621 0.500
Hg2 Hg 0.621 0.879 0.500
Hg3 Hg 0.879 0.379 0.500
Hg4 Hg 0.379 0.121 0.500
Se1 Se 0.278 0.778 0.000
Se2 Se 0.778 0.722 0.000
Se3 Se 0.722 0.222 0.000
Se4 Se 0.222 0.278 0.000
# DOS at the Fermi energy = 0.487 states/eV per atom
# Calculated total energy = -11.761 eV/f.u.

***

(2)
# SmHo4Mg2 PBE-GGA relaxed
data_SmHo4Mg2
_symmetry_space_group_name_H-M 'P 1'
_symmetry_Int_Tables_number 1
_cell_length_a 5.193
_cell_length_b 5.193
_cell_length_c 10.687
_cell_angle_alpha 75.94
_cell_angle_beta 75.94
_cell_angle_gamma 60.00
loop_
_symmetry_equiv_pos_as_xyz
'x,y,z'
loop_
_atom_site_label
_atom_site_type_symbol
_atom_site_fract_x
_atom_site_fract_y
_atom_site_fract_z
Sm1 Sm 0.500 0.500 0.500
Ho1 Ho 0.704 0.704 0.889
Ho2 Ho 0.895 0.895 0.315
Ho3 Ho 0.296 0.296 0.111
Ho4 Ho 0.105 0.105 0.685
Mg1 Mg 0.600 0.600 0.199
Mg2 Mg 0.400 0.400 0.801
# DOS at the Fermi energy = 1.936 states/eV per atom
# Formation energy = 0.50 eV/atom
# Calculated total energy = -22.688 eV/f.u.

***

(3)
# TbPmHo2 PBE-GGA relaxed
data_TbPmHo2
_symmetry_space_group_name_H-M 'P 1'
_symmetry_Int_Tables_number 1
_cell_length_a 5.026
_cell_length_b 5.046
_cell_length_c 5.046
_cell_angle_alpha 90.00
_cell_angle_beta 90.00
_cell_angle_gamma 90.00
loop_
_symmetry_equiv_pos_as_xyz
'x,y,z'
loop_
_atom_site_label
_atom_site_type_symbol
_atom_site_fract_x
_atom_site_fract_y
_atom_site_fract_z
Tb1 Tb 0.500 0.500 0.500
Ho1 Ho 0.000 0.000 0.500
Ho2 Ho 0.000 0.500 0.000
Pm1 Pm 0.500 0.000 0.000
# DOS at the Fermi energy = 1.467 states/eV per atom
# Formation energy = 0.02 eV/atom
# ΔE to the lowest computed polymorph = 4.8 meV/atom
# Calculated total energy = -18.455 eV/f.u.

***

(4)
# AcGe2Rh PBE-GGA relaxed
data_AcGe2Rh
_symmetry_space_group_name_H-M 'P 1'
_symmetry_Int_Tables_number 1
_cell_length_a 3.404
_cell_length_b 3.404
_cell_length_c 7.152
_cell_angle_alpha 90.00
_cell_angle_beta 90.00
_cell_angle_gamma 90.00
loop_
_symmetry_equiv_pos_as_xyz
'x,y,z'
loop_
_atom_site_label
_atom_site_type_symbol
_atom_site_fract_x
_atom_site_fract_y
_atom_site_fract_z
Ac1 Ac 0.500 0.500 0.500
Rh1 Rh 0.500 0.500 0.000
Ge1 Ge 0.000 0.000 0.815
Ge2 Ge 0.000 0.000 0.185
# DOS at the Fermi energy = 0.624 states/eV per atom
# Formation energy = -0.34 eV/atom
# ΔE to the lowest computed polymorph = 480.7 meV/atom
# Calculated total energy = -22.040 eV/f.u.

***

(5)
# Y3ThSe4 PBE-GGA relaxed
data_Y3ThSe4
_symmetry_space_group_name_H-M 'P 1'
_symmetry_Int_Tables_number 1
_cell_length_a 4.045
_cell_length_b 4.045
_cell_length_c 27.934
_cell_angle_alpha 90.00
_cell_angle_beta 90.00
_cell_angle_gamma 120.00
loop_
_symmetry_equiv_pos_as_xyz
'x,y,z'
loop_
_atom_site_label
_atom_site_type_symbol
_atom_site_fract_x
_atom_site_fract_y
_atom_site_fract_z
Y1 Y 0.000 0.000 0.000
Y2 Y 0.000 0.000 0.500
Y3 Y 0.333 0.667 0.878
Y4 Y 0.667 0.333 0.122
Y5 Y 0.667 0.333 0.378
Y6 Y 0.333 0.667 0.622
Se1 Se 0.667 0.333 0.939
Se2 Se 0.333 0.667 0.061
Se3 Se 0.333 0.667 0.439
Se4 Se 0.667 0.333 0.561
Se5 Se 0.000 0.000 0.818
Se6 Se 0.000 0.000 0.182
Se7 Se 0.000 0.000 0.318
Se8 Se 0.000 0.000 0.682
Th1 Th 0.667 0.333 0.750
Th2 Th 0.333 0.667 0.250
# DOS at the Fermi energy = 0.550 states/eV per atom
# ΔE to the lowest computed polymorph = 0.0 meV/atom
# Calculated total energy = -54.330 eV/f.u.

***

(6)
# Ce3SmTe6 PBE-GGA relaxed
data_Ce3SmTe6
_symmetry_space_group_name_H-M 'P 1'
_symmetry_Int_Tables_number 1
_cell_length_a 7.478
_cell_length_b 8.416
_cell_length_c 11.328
_cell_angle_alpha 90.00
_cell_angle_beta 90.49
_cell_angle_gamma 90.00
loop_
_symmetry_equiv_pos_as_xyz
'x,y,z'
loop_
_atom_site_label
_atom_site_type_symbol
_atom_site_fract_x
_atom_site_fract_y
_atom_site_fract_z
Ce1 Ce 0.551 0.881 0.749
Ce2 Ce 0.500 0.500 0.000
Ce3 Ce 0.449 0.119 0.251
Ce4 Ce 0.051 0.619 0.249
Ce5 Ce 0.000 0.000 0.500
Ce6 Ce 0.949 0.381 0.751
Sm1 Sm 0.500 0.500 0.500
Sm2 Sm 0.000 0.000 0.000
Te1 Te 0.659 0.176 0.920
Te2 Te 0.659 0.177 0.578
Te3 Te 0.666 0.444 0.252
Te4 Te 0.334 0.556 0.748
Te5 Te 0.341 0.823 0.422
Te6 Te 0.341 0.824 0.080
Te7 Te 0.159 0.324 0.420
Te8 Te 0.159 0.323 0.078
Te9 Te 0.166 0.056 0.752
Te10 Te 0.834 0.944 0.248
Te11 Te 0.841 0.677 0.922
Te12 Te 0.841 0.676 0.580
# DOS at the Fermi energy = 2.162 states/eV per atom
# Calculated total energy = -54.512 eV/f.u.

***

(7)
# SrWNCl2 PBE-GGA relaxed
data_SrWNCl2
_symmetry_space_group_name_H-M 'P 1'
_symmetry_Int_Tables_number 1
_cell_length_a 4.507
_cell_length_b 6.898
_cell_length_c 4.507
_cell_angle_alpha 90.00
_cell_angle_beta 90.00
_cell_angle_gamma 90.00
loop_
_symmetry_equiv_pos_as_xyz
'x,y,z'
loop_
_atom_site_label
_atom_site_type_symbol
_atom_site_fract_x
_atom_site_fract_y
_atom_site_fract_z
Sr1 Sr 0.000 0.500 0.000
N1 N 0.500 0.500 0.500
W1 W 0.000 0.000 0.000
Cl1 Cl 0.000 0.000 0.500
Cl2 Cl 0.500 0.000 0.000
# DOS at the Fermi energy = 0.941 states/eV per atom
# ΔE to the lowest computed polymorph = 1204.7 meV/atom
# Calculated total energy = -23.444 eV/f.u.

***

(8)
# ZrNpAg2O6 PBE-GGA relaxed
data_ZrNpAg2O6
_symmetry_space_group_name_H-M 'P 1'
_symmetry_Int_Tables_number 1
_cell_length_a 5.895
_cell_length_b 5.915
_cell_length_c 8.347
_cell_angle_alpha 90.00
_cell_angle_beta 90.00
_cell_angle_gamma 90.00
loop_
_symmetry_equiv_pos_as_xyz
'x,y,z'
loop_
_atom_site_label
_atom_site_type_symbol
_atom_site_fract_x
_atom_site_fract_y
_atom_site_fract_z
Zr1 Zr 0.000 0.737 0.500
Zr2 Zr 0.500 0.263 0.000
Np1 Np 0.500 0.242 0.500
Np2 Np 0.000 0.758 0.000
Ag1 Ag 0.500 0.780 0.239
Ag2 Ag 0.000 0.220 0.739
Ag3 Ag 0.500 0.780 0.761
Ag4 Ag 0.000 0.220 0.261
O1 O 0.500 0.238 0.252
O2 O 0.500 0.238 0.748
O3 O 0.000 0.762 0.248
O4 O 0.000 0.762 0.752
O5 O 0.254 0.993 0.500
O6 O 0.746 0.993 0.500
O7 O 0.248 0.486 0.500
O8 O 0.752 0.486 0.500
O9 O 0.748 0.514 0.000
O10 O 0.252 0.514 0.000
O11 O 0.246 0.007 0.000
O12 O 0.754 0.007 0.000
# DOS at the Fermi energy = 0.117 states/eV per atom
# Calculated total energy = -77.244 eV/f.u.

***

(9)
# Be2PRh2 PBE-GGA relaxed
data_Be2PRh2
_symmetry_space_group_name_H-M 'P 1'
_symmetry_Int_Tables_number 1
_cell_length_a 6.317
_cell_length_b 6.317
_cell_length_c 2.978
_cell_angle_alpha 90.00
_cell_angle_beta 90.00
_cell_angle_gamma 90.00
loop_
_symmetry_equiv_pos_as_xyz
'x,y,z'
loop_
_atom_site_label
_atom_site_type_symbol
_atom_site_fract_x
_atom_site_fract_y
_atom_site_fract_z
P1 P 0.000 0.000 0.000
P2 P 0.500 0.500 0.000
Rh1 Rh 0.334 0.834 0.000
Rh2 Rh 0.834 0.666 0.000
Rh3 Rh 0.666 0.166 0.000
Rh4 Rh 0.166 0.334 0.000
Be1 Be 0.128 0.628 0.500
Be2 Be 0.628 0.872 0.500
Be3 Be 0.872 0.372 0.500
Be4 Be 0.372 0.128 0.500
# DOS at the Fermi energy = 0.694 states/eV per atom
# Formation energy = -0.36 eV/atom
# ΔE to the lowest computed polymorph = 0.0 meV/atom
# Calculated total energy = -29.367 eV/f.u.

***

(10)
# PuIn3Pd PBE-GGA relaxed
data_PuIn3Pd
_symmetry_space_group_name_H-M 'P 1'
_symmetry_Int_Tables_number 1
_cell_length_a 3.554
_cell_length_b 9.351
_cell_length_c 13.262
_cell_angle_alpha 90.00
_cell_angle_beta 90.00
_cell_angle_gamma 90.00
loop_
_symmetry_equiv_pos_as_xyz
'x,y,z'
loop_
_atom_site_label
_atom_site_type_symbol
_atom_site_fract_x
_atom_site_fract_y
_atom_site_fract_z
Pu1 Pu 0.750 0.921 0.002
Pu2 Pu 0.250 0.579 0.502
Pu3 Pu 0.750 0.421 0.498
Pu4 Pu 0.250 0.079 0.998
In1 In 0.250 0.614 0.065
In2 In 0.750 0.386 0.935
In3 In 0.250 0.114 0.435
In4 In 0.750 0.886 0.565
In5 In 0.250 0.370 0.703
In6 In 0.750 0.130 0.203
In7 In 0.250 0.870 0.797
In8 In 0.750 0.631 0.702
In9 In 0.250 0.369 0.298
In10 In 0.750 0.131 0.798
In11 In 0.750 0.630 0.297
In12 In 0.250 0.869 0.202
Pd1 Pd 0.250 0.089 0.642
Pd2 Pd 0.250 0.589 0.858
Pd3 Pd 0.750 0.411 0.142
Pd4 Pd 0.750 0.911 0.358
# DOS at the Fermi energy = 0.757 states/eV per atom
# Formation energy = -0.13 eV/atom
# Calculated total energy = -28.369 eV/f.u.

***

(11)
# TaCuTe2 PBE-GGA relaxed
data_TaCuTe2
_symmetry_space_group_name_H-M 'P 1'
_symmetry_Int_Tables_number 1
_cell_length_a 3.488
_cell_length_b 3.501
_cell_length_c 7.196
_cell_angle_alpha 69.92
_cell_angle_beta 90.00
_cell_angle_gamma 90.00
loop_
_symmetry_equiv_pos_as_xyz
'x,y,z'
loop_
_atom_site_label
_atom_site_type_symbol
_atom_site_fract_x
_atom_site_fract_y
_atom_site_fract_z
Cu1 Cu 0.500 0.250 0.250
Ta1 Ta 0.500 0.750 0.750
Te1 Te 0.000 0.088 0.991
Te2 Te 0.000 0.412 0.509
# DOS at the Fermi energy = 0.221 states/eV per atom
# Calculated total energy = -21.879 eV/f.u.

***

(12)
# Pr3YTe4 PBE-GGA relaxed
data_Pr3YTe4
_symmetry_space_group_name_H-M 'P 1'
_symmetry_Int_Tables_number 1
_cell_length_a 4.433
_cell_length_b 7.817
_cell_length_c 7.817
_cell_angle_alpha 108.79
_cell_angle_beta 90.00
_cell_angle_gamma 90.00
loop_
_symmetry_equiv_pos_as_xyz
'x,y,z'
loop_
_atom_site_label
_atom_site_type_symbol
_atom_site_fract_x
_atom_site_fract_y
_atom_site_fract_z
Pr1 Pr 0.000 0.000 0.500
Pr2 Pr 0.500 0.500 0.500
Pr3 Pr 0.000 0.500 0.000
Y1 Y 0.500 0.000 0.000
Te1 Te 0.000 0.240 0.240
Te2 Te 0.500 0.755 0.245
Te3 Te 0.000 0.760 0.760
Te4 Te 0.500 0.245 0.755
# DOS at the Fermi energy = 0.639 states/eV per atom
# ΔE to the lowest computed polymorph = 0.0 meV/atom
# Calculated total energy = -44.607 eV/f.u.

***

(13)
# MnP3 PBE-GGA relaxed
data_MnP3
_symmetry_space_group_name_H-M 'P 1'
_symmetry_Int_Tables_number 1
_cell_length_a 6.201
_cell_length_b 6.201
_cell_length_c 6.201
_cell_angle_alpha 31.24
_cell_angle_beta 31.24
_cell_angle_gamma 31.24
loop_
_symmetry_equiv_pos_as_xyz
'x,y,z'
loop_
_atom_site_label
_atom_site_type_symbol
_atom_site_fract_x
_atom_site_fract_y
_atom_site_fract_z
Mn1 Mn 0.000 0.000 0.000
P1 P 0.752 0.752 0.752
P2 P 0.500 0.500 0.500
P3 P 0.248 0.248 0.248
# DOS at the Fermi energy = 0.401 states/eV per atom
# Formation energy = 0.01 eV/atom
# ΔE to the lowest computed polymorph = 168.2 meV/atom
# Calculated total energy = -25.363 eV/f.u.

***

(14)
# SrScPb2N PBE-GGA relaxed
data_SrScPb2N
_symmetry_space_group_name_H-M 'P 1'
_symmetry_Int_Tables_number 1
_cell_length_a 5.439
_cell_length_b 5.439
_cell_length_c 6.254
_cell_angle_alpha 90.00
_cell_angle_beta 90.00
_cell_angle_gamma 90.00
loop_
_symmetry_equiv_pos_as_xyz
'x,y,z'
loop_
_atom_site_label
_atom_site_type_symbol
_atom_site_fract_x
_atom_site_fract_y
_atom_site_fract_z
Pb1 Pb 0.000 0.500 0.000
Pb2 Pb 0.500 0.000 0.000
Sr1 Sr 0.000 0.000 0.500
Sc1 Sc 0.000 0.000 0.000
N1 N 0.500 0.500 0.500
# DOS at the Fermi energy = 0.854 states/eV per atom
# Calculated total energy = -17.774 eV/f.u.

***

(15)
# K2AgIr PBE-GGA relaxed
data_K2AgIr
_symmetry_space_group_name_H-M 'P 1'
_symmetry_Int_Tables_number 1
_cell_length_a 5.696
_cell_length_b 5.696
_cell_length_c 5.756
_cell_angle_alpha 84.58
_cell_angle_beta 84.58
_cell_angle_gamma 29.61
loop_
_symmetry_equiv_pos_as_xyz
'x,y,z'
loop_
_atom_site_label
_atom_site_type_symbol
_atom_site_fract_x
_atom_site_fract_y
_atom_site_fract_z
Ag1 Ag 0.750 0.750 0.750
Ir1 Ir 0.250 0.250 0.250
K1 K 0.996 0.996 0.008
K2 K 0.504 0.504 0.492
# DOS at the Fermi energy = 0.771 states/eV per atom
# Formation energy = 0.76 eV/atom
# ΔE to the lowest computed polymorph = 236.0 meV/atom
# Calculated total energy = -10.875 eV/f.u.

***

(16)
# Dy4Cu2Ag PBE-GGA relaxed
data_Dy4Cu2Ag
_symmetry_space_group_name_H-M 'P 1'
_symmetry_Int_Tables_number 1
_cell_length_a 4.959
_cell_length_b 4.959
_cell_length_c 8.492
_cell_angle_alpha 73.03
_cell_angle_beta 73.03
_cell_angle_gamma 60.00
loop_
_symmetry_equiv_pos_as_xyz
'x,y,z'
loop_
_atom_site_label
_atom_site_type_symbol
_atom_site_fract_x
_atom_site_fract_y
_atom_site_fract_z
Ag1 Ag 0.000 0.000 0.000
Cu1 Cu 0.749 0.749 0.752
Cu2 Cu 0.251 0.251 0.248
Dy1 Dy 0.871 0.871 0.386
Dy2 Dy 0.129 0.129 0.614
Dy3 Dy 0.620 0.620 0.140
Dy4 Dy 0.380 0.380 0.860
# DOS at the Fermi energy = 0.794 states/eV per atom
# Formation energy = -0.13 eV/atom
# ΔE to the lowest computed polymorph = 0.0 meV/atom
# Calculated total energy = -30.343 eV/f.u.

***

(17)
# Sr3LiLa2Te6 PBE-GGA relaxed
data_Sr3LiLa2Te6
_symmetry_space_group_name_H-M 'P 1'
_symmetry_Int_Tables_number 1
_cell_length_a 8.020
_cell_length_b 8.020
_cell_length_c 8.054
_cell_angle_alpha 99.58
_cell_angle_beta 99.58
_cell_angle_gamma 120.00
loop_
_symmetry_equiv_pos_as_xyz
'x,y,z'
loop_
_atom_site_label
_atom_site_type_symbol
_atom_site_fract_x
_atom_site_fract_y
_atom_site_fract_z
Sr1 Sr 0.168 0.832 0.500
Sr2 Sr 0.832 0.168 0.500
Sr3 Sr 0.500 0.500 0.500
Li1 Li 0.000 0.000 0.000
La1 La 0.334 0.666 0.000
La2 La 0.666 0.334 0.000
Te1 Te 0.921 0.593 0.763
Te2 Te 0.751 0.751 0.239
Te3 Te 0.079 0.407 0.237
Te4 Te 0.593 0.921 0.763
Te5 Te 0.249 0.249 0.761
Te6 Te 0.407 0.079 0.237
# DOS at the Fermi energy = 0.346 states/eV per atom
# Calculated total energy = -54.522 eV/f.u.

***

(18)
# YZnHRh2 PBE-GGA relaxed
data_YZnHRh2
_symmetry_space_group_name_H-M 'P 1'
_symmetry_Int_Tables_number 1
_cell_length_a 4.271
_cell_length_b 4.271
_cell_length_c 3.796
_cell_angle_alpha 90.00
_cell_angle_beta 90.00
_cell_angle_gamma 90.00
loop_
_symmetry_equiv_pos_as_xyz
'x,y,z'
loop_
_atom_site_label
_atom_site_type_symbol
_atom_site_fract_x
_atom_site_fract_y
_atom_site_fract_z
Y1 Y 0.500 0.500 0.500
H1 H 0.000 0.000 0.000
Zn1 Zn 0.000 0.000 0.500
Rh1 Rh 0.000 0.500 0.000
Rh2 Rh 0.500 0.000 0.000
# DOS at the Fermi energy = 0.185 states/eV per atom
# ΔE to the lowest computed polymorph = 11.2 meV/atom
# Calculated total energy = -28.041 eV/f.u.

***

(19)
# HfFe4W PBE-GGA relaxed
data_HfFe4W
_symmetry_space_group_name_H-M 'P 1'
_symmetry_Int_Tables_number 1
_cell_length_a 4.826
_cell_length_b 4.826
_cell_length_c 4.826
_cell_angle_alpha 60.00
_cell_angle_beta 60.00
_cell_angle_gamma 60.00
loop_
_symmetry_equiv_pos_as_xyz
'x,y,z'
loop_
_atom_site_label
_atom_site_type_symbol
_atom_site_fract_x
_atom_site_fract_y
_atom_site_fract_z
Hf1 Hf 0.250 0.250 0.250
Fe1 Fe 0.625 0.625 0.124
Fe2 Fe 0.625 0.124 0.625
Fe3 Fe 0.625 0.625 0.625
Fe4 Fe 0.124 0.625 0.625
W1 W 0.000 0.000 0.000
# DOS at the Fermi energy = 1.370 states/eV per atom
# Formation energy = -0.12 eV/atom
# Calculated total energy = -57.448 eV/f.u.

***

(20)
# Tb2Pr4Sc3 PBE-GGA relaxed
data_Tb2Pr4Sc3
_symmetry_space_group_name_H-M 'P 1'
_symmetry_Int_Tables_number 1
_cell_length_a 5.038
_cell_length_b 6.070
_cell_length_c 10.547
_cell_angle_alpha 73.83
_cell_angle_beta 89.99
_cell_angle_gamma 65.50
loop_
_symmetry_equiv_pos_as_xyz
'x,y,z'
loop_
_atom_site_label
_atom_site_type_symbol
_atom_site_fract_x
_atom_site_fract_y
_atom_site_fract_z
Tb1 Tb 0.330 0.341 0.771
Tb2 Tb 0.670 0.659 0.229
Pr1 Pr 0.666 0.669 0.887
Pr2 Pr 0.007 0.986 0.337
Pr3 Pr 0.993 0.014 0.663
Pr4 Pr 0.334 0.331 0.113
Sc1 Sc 0.336 0.328 0.449
Sc2 Sc 0.000 0.000 0.000
Sc3 Sc 0.664 0.672 0.551
# DOS at the Fermi energy = 1.463 states/eV per atom
# Formation energy = 0.05 eV/atom
# Calculated total energy = -46.894 eV/f.u.

***

| no. | magnetic moment (μB/f.u.) |
| --- | --- |
| 1 | 0.0 |
| 2 | 0.0 |
| 3 | 0.0 |
| 4 | 0.0 |
| 5 | 0.0 |
| 6 | 3.0 |
| 7 | 1.9 |
| 8 | 1.0 |
| 9 | 0.0 |
| 10 | 0.0 |
| 11 | 0.0 |
| 12 | 0.0 |
| 13 | 3.0 |
| 14 | 2.7 |
| 15 | 0.5 |
| 16 | 0.0 |
| 17 | 0.0 |
| 18 | 0.0 |
| 19 | 5.8 |
| 20 | 0.0 |